Entry 1:
MgNi3Ag: optimized geometry, PBE-GGA.

```
data_MgNi3Ag
_space_group_name_H-M_alt 'P m -3 m'
_space_group_IT_number 221
_space_group_name_Hall '-P 4 2 3'
_cell_length_a 4.359
_cell_length_b 4.359
_cell_length_c 4.359
_cell_angle_alpha 90.00
_cell_angle_beta 90.00
_cell_angle_gamma 90.00
loop_
_atom_site_label
_atom_site_type_symbol
_atom_site_fract_x
_atom_site_fract_y
_atom_site_fract_z
Mg1 Mg 0.000 0.000 0.000
Ni1 Ni 0.000 0.000 0.500
Ag1 Ag 0.500 0.500 0.500
```

Output
crystal system = cubic
distance to the lowest polymorph of the same formula = 0.0 meV per atom

Entry 2:
MgNiAg: optimized geometry, PBE-GGA.

```
data_MgNiAg
_space_group_name_H-M_alt 'F -4 3 m'
_space_group_IT_number 216
_space_group_name_Hall 'F -4 2 3'
_cell_length_a 6.017
_cell_length_b 6.017
_cell_length_c 6.017
_cell_angle_alpha 90.00
_cell_angle_beta 90.00
_cell_angle_gamma 90.00
loop_
_atom_site_label
_atom_site_type_symbol
_atom_site_fract_x
_atom_site_fract_y
_atom_site_fract_z
Mg1 Mg 0.000 0.000 0.000
Ni1 Ni 0.250 0.250 0.750
Ag1 Ag 0.000 0.000 0.500
```

Output
crystal system = cubic
distance to the lowest polymorph of the same formula = 201.5 meV per atom

Entry 3:
Mg6NiAg: optimized geometry, PBE-GGA.

```
data_Mg6NiAg
_space_group_name_H-M_alt 'C 1 2/m 1'
_space_group_IT_number 12
_cell_length_a 6.115
_cell_length_b 10.279
_cell_length_c 6.040
_cell_angle_alpha 90.00
_cell_angle_beta 114.15
_cell_angle_gamma 90.00
loop_
_space_group_symop_operation_xyz
'x,y,z'
'-x,-y,-z'
'-x,y,-z'
'x,-y,z'
'x+1/2,y+1/2,z'
'-x+1/2,-y+1/2,-z'
'-x+1/2,y+1/2,-z'
'x+1/2,-y+1/2,z'
loop_
_atom_site_label
_atom_site_type_symbol
_atom_site_fract_x
_atom_site_fract_y
_atom_site_fract_z
Mg1 Mg 0.227 0.198 0.241
Mg2 Mg 0.240 0.000 0.761
Ni1 Ni 0.000 0.000 0.000
Ag1 Ag 0.000 0.500 0.500
```

Output
crystal system = monoclinic

Entry 4:
MgNiAg: optimized geometry, PBE-GGA.

```
data_MgNiAg
_space_group_name_H-M_alt 'I m m 2'
_space_group_IT_number 44
_cell_length_a 2.938
_cell_length_b 3.672
_cell_length_c 8.634
_cell_angle_alpha 90.00
_cell_angle_beta 90.00
_cell_angle_gamma 90.00
loop_
_space_group_symop_operation_xyz
'x,y,z'
'-x,-y,z'
'-x,y,z'
'x,-y,z'
'x+1/2,y+1/2,z+1/2'
'-x+1/2,-y+1/2,z+1/2'
'-x+1/2,y+1/2,z+1/2'
'x+1/2,-y+1/2,z+1/2'
loop_
_atom_site_label
_atom_site_type_symbol
_atom_site_fract_x
_atom_site_fract_y
_atom_site_fract_z
Mg1 Mg 0.000 0.000 0.000
Ni1 Ni 0.000 0.000 0.345
Ag1 Ag 0.000 0.000 0.680
```

Output
crystal system = orthorhombic
distance to the lowest polymorph of the same formula = 1.8 meV per atom

Entry 5:
MgNiAg: optimized geometry, PBE-GGA.

```
data_MgNiAg
_space_group_name_H-M_alt 'P 3 m 1'
_space_group_IT_number 156
_cell_length_a 4.3767
_cell_length_b 4.3767
_cell_length_c 2.8200
_cell_angle_alpha 90.00
_cell_angle_beta 90.00
_cell_angle_gamma 120.00
loop_
_space_group_symop_operation_xyz
'x,y,z'
'-y,x-y,z'
'-x+y,-x,z'
'-y,-x,z'
'-x+y,y,z'
'x,x-y,z'
loop_
_atom_site_label
_atom_site_type_symbol
_atom_site_fract_x
_atom_site_fract_y
_atom_site_fract_z
Mg1 Mg 0.0000 0.0000 0.0000
Ni1 Ni 0.6667 0.3333 0.3126
Ag1 Ag 0.3333 0.6667 0.6208
```

Output
crystal system = trigonal
distance to the lowest polymorph of the same formula = 46.9 meV per atom

Entry 6:
Mg5NiAg2: optimized geometry, PBE-GGA.

```
data_Mg5NiAg2
_space_group_name_H-M_alt 'P b a m'
_space_group_IT_number 55
_cell_length_a 5.782
_cell_length_b 11.215
_cell_length_c 4.521
_cell_angle_alpha 90.00
_cell_angle_beta 90.00
_cell_angle_gamma 90.00
loop_
_space_group_symop_operation_xyz
'x,y,z'
'-x,-y,-z'
'-x,-y,z'
'x,y,-z'
'x+1/2,-y+1/2,-z'
'-x+1/2,y+1/2,z'
'-x+1/2,y+1/2,-z'
'x+1/2,-y+1/2,z'
loop_
_atom_site_label
_atom_site_type_symbol
_atom_site_fract_x
_atom_site_fract_y
_atom_site_fract_z
Mg1 Mg 0.000 0.000 0.000
Mg2 Mg 0.107 0.271 0.000
Mg3 Mg 0.164 0.605 0.500
Ni1 Ni 0.000 0.500 0.000
Ag1 Ag 0.158 0.866 0.500
```

Output
crystal system = orthorhombic

Entry 7:
MgNi2Ag: optimized geometry, PBE-GGA.

```
data_MgNi2Ag
_space_group_name_H-M_alt 'P 4/m m m'
_space_group_IT_number 123
_space_group_name_Hall '-P 4 2'
_cell_length_a 3.832
_cell_length_b 3.832
_cell_length_c 3.809
_cell_angle_alpha 90.00
_cell_angle_beta 90.00
_cell_angle_gamma 90.00
loop_
_atom_site_label
_atom_site_type_symbol
_atom_site_fract_x
_atom_site_fract_y
_atom_site_fract_z
Mg1 Mg 0.000 0.000 0.000
Ni1 Ni 0.000 0.500 0.500
Ag1 Ag 0.500 0.500 0.000
```

Output
crystal system = tetragonal

Entry 8:
MgNi2Ag: optimized geometry, PBE-GGA.

```
data_MgNi2Ag
_space_group_name_H-M_alt 'I -4 2 d'
_space_group_IT_number 122
_space_group_name_Hall 'I -4 2bw'
_cell_length_a 3.674
_cell_length_b 3.674
_cell_length_c 18.257
_cell_angle_alpha 90.00
_cell_angle_beta 90.00
_cell_angle_gamma 90.00
loop_
_atom_site_label
_atom_site_type_symbol
_atom_site_fract_x
_atom_site_fract_y
_atom_site_fract_z
Mg1 Mg 0.000 0.000 0.000
Ni1 Ni 0.246 0.250 0.625
Ag1 Ag 0.000 0.000 0.500
```

Output
crystal system = tetragonal

Entry 9:
Mg4NiAg: optimized geometry, PBE-GGA.

```
data_Mg4NiAg
_space_group_name_H-M_alt 'P 4/m m m'
_space_group_IT_number 123
_space_group_name_Hall '-P 4 2'
_cell_length_a 3.176
_cell_length_b 3.176
_cell_length_c 10.936
_cell_angle_alpha 90.00
_cell_angle_beta 90.00
_cell_angle_gamma 90.00
loop_
_atom_site_label
_atom_site_type_symbol
_atom_site_fract_x
_atom_site_fract_y
_atom_site_fract_z
Mg1 Mg 0.000 0.000 0.132
Mg2 Mg 0.500 0.500 0.337
Ni1 Ni 0.500 0.500 0.000
Ag1 Ag 0.000 0.000 0.500
```

Output
crystal system = tetragonal
distance to the lowest polymorph of the same formula = 0.0 meV per atom

Entry 10:
Mg4NiAg: optimized geometry, PBE-GGA.

```
data_Mg4NiAg
_space_group_name_H-M_alt 'C 1 2/m 1'
_space_group_IT_number 12
_cell_length_a 7.696
_cell_length_b 4.455
_cell_length_c 7.885
_cell_angle_alpha 90.00
_cell_angle_beta 108.91
_cell_angle_gamma 90.00
loop_
_space_group_symop_operation_xyz
'x,y,z'
'-x,-y,-z'
'-x,y,-z'
'x,-y,z'
'x+1/2,y+1/2,z'
'-x+1/2,-y+1/2,-z'
'-x+1/2,y+1/2,-z'
'x+1/2,-y+1/2,z'
loop_
_atom_site_label
_atom_site_type_symbol
_atom_site_fract_x
_atom_site_fract_y
_atom_site_fract_z
Mg1 Mg 0.116 0.000 0.349
Mg2 Mg 0.132 0.500 0.895
Ni1 Ni 0.000 0.000 0.000
Ag1 Ag 0.000 0.500 0.500
```

Output
crystal system = monoclinic
distance to the lowest polymorph of the same formula = 125.5 meV per atom

Entry 11:
Mg3NiAg: optimized geometry, PBE-GGA.

```
data_Mg3NiAg
_space_group_name_H-M_alt 'P m -3 m'
_space_group_IT_number 221
_space_group_name_Hall '-P 4 2 3'
_cell_length_a 4.968
_cell_length_b 4.968
_cell_length_c 4.968
_cell_angle_alpha 90.00
_cell_angle_beta 90.00
_cell_angle_gamma 90.00
loop_
_atom_site_label
_atom_site_type_symbol
_atom_site_fract_x
_atom_site_fract_y
_atom_site_fract_z
Mg1 Mg 0.000 0.000 0.500
Ni1 Ni 0.500 0.500 0.500
Ag1 Ag 0.000 0.000 0.000
```

Output
crystal system = cubic
distance to the lowest polymorph of the same formula = 444.9 meV per atom

Entry 12:
MgNi2Ag: optimized geometry, PBE-GGA.

```
data_MgNi2Ag
_space_group_name_H-M_alt 'R 3 m'
_space_group_IT_number 160
_space_group_name_Hall 'R 3 -2"'
_cell_length_a 2.8006
_cell_length_b 2.8006
_cell_length_c 25.6821
_cell_angle_alpha 90.00
_cell_angle_beta 90.00
_cell_angle_gamma 120.00
loop_
_atom_site_label
_atom_site_type_symbol
_atom_site_fract_x
_atom_site_fract_y
_atom_site_fract_z
Mg1 Mg 0.0000 0.0000 0.0000
Ni1 Ni 0.0000 0.0000 0.2523
Ni2 Ni 0.0000 0.0000 0.5139
Ag1 Ag 0.0000 0.0000 0.7612
```

Output
crystal system = trigonal

Entry 13:
Mg2NiAg2: optimized geometry, PBE-GGA.

```
data_Mg2NiAg2
_space_group_name_H-M_alt 'P 4/m b m'
_space_group_IT_number 127
_space_group_name_Hall '-P 4 2ab'
_cell_length_a 7.511
_cell_length_b 7.511
_cell_length_c 3.144
_cell_angle_alpha 90.00
_cell_angle_beta 90.00
_cell_angle_gamma 90.00
loop_
_atom_site_label
_atom_site_type_symbol
_atom_site_fract_x
_atom_site_fract_y
_atom_site_fract_z
Mg1 Mg 0.155 0.345 0.000
Ni1 Ni 0.000 0.000 0.000
Ag1 Ag 0.145 0.645 0.500
```

Output
crystal system = tetragonal
distance to the lowest polymorph of the same formula = 101.9 meV per atom

Entry 14:
Mg3NiAg: optimized geometry, PBE-GGA.

```
data_Mg3NiAg
_space_group_name_H-M_alt 'P m -3 m'
_space_group_IT_number 221
_space_group_name_Hall '-P 4 2 3'
_cell_length_a 4.770
_cell_length_b 4.770
_cell_length_c 4.770
_cell_angle_alpha 90.00
_cell_angle_beta 90.00
_cell_angle_gamma 90.00
loop_
_atom_site_label
_atom_site_type_symbol
_atom_site_fract_x
_atom_site_fract_y
_atom_site_fract_z
Mg1 Mg 0.000 0.000 0.500
Ni1 Ni 0.000 0.000 0.000
Ag1 Ag 0.500 0.500 0.500
```

Output
crystal system = cubic
distance to the lowest polymorph of the same formula = 0.0 meV per atom

Table of E_form (meV per atom), in record order: 1108 164 72 -36 9 -152 -6 339 -132 -6 598 160 151 153